Entry 1:
! TaSiAu2 (PBE, relaxed); values from VASP
&SYSTEM
  ibrav = 0, nat = 4, ntyp = 3
/
ATOMIC_SPECIES
Au 196.97 Au.upf
Si 28.09 Si.upf
Ta 180.95 Ta.upf
ATOMIC_POSITIONS crystal
Au 0.000 0.000 0.000
Au 0.500 0.500 0.000
Si 0.500 0.000 0.500
Ta 0.000 0.500 0.500
CELL_PARAMETERS angstrom
5.058 -0.011 0.000
-2.161 4.573 0.000
0.000 0.000 3.018
! - energy relative to the elements, uncorrected (eV/atom) = 0.139
! - VASP energy (eV per atom) = -5.819
! - magnetization (μB per formula unit) = 0.00
! - space-group type = Cmmm, No. 65

---

Entry 2:
! TaSiAu2 (PBE, relaxed); values from VASP
&SYSTEM
  ibrav = 0, nat = 4, ntyp = 3
/
ATOMIC_SPECIES
Au 196.97 Au.upf
Si 28.09 Si.upf
Ta 180.95 Ta.upf
ATOMIC_POSITIONS crystal
Au 0.000 0.000 0.000
Au 0.500 0.500 0.000
Si 0.250 0.750 0.500
Ta 0.750 0.250 0.500
CELL_PARAMETERS angstrom
-2.452 -4.325 1.762
2.409 -4.623 -0.806
1.314 4.726 1.939
! - energy relative to the elements, uncorrected (eV/atom) = 0.099
! - VASP energy (eV per atom) = -5.859
! - magnetization (μB per formula unit) = 0.00
! - space-group type = I4/mmm, No. 139

---

Entry 3:
! Ta2SiAu (PBE, relaxed); values from VASP
&SYSTEM
  ibrav = 0, nat = 4, ntyp = 3
/
ATOMIC_SPECIES
Au 196.97 Au.upf
Si 28.09 Si.upf
Ta 180.95 Ta.upf
ATOMIC_POSITIONS crystal
Au 0.500 0.250 0.250
Si 0.500 0.750 0.750
Ta 0.000 0.956 0.985
Ta 0.000 0.544 0.515
CELL_PARAMETERS angstrom
-2.330 0.319 3.410
1.396 -2.246 1.163
4.816 1.760 3.126
! - energy relative to the elements, uncorrected (eV/atom) = -0.140
! - VASP energy (eV per atom) = -8.241
! - magnetization (μB per formula unit) = 0.00
! - space-group type = P2/m, No. 10

---

Entry 4:
! Ta2SiAu (PBE, relaxed); values from VASP
&SYSTEM
  ibrav = 0, nat = 4, ntyp = 3
/
ATOMIC_SPECIES
Au 196.97 Au.upf
Si 28.09 Si.upf
Ta 180.95 Ta.upf
ATOMIC_POSITIONS crystal
Au 0.000 0.000 0.506
Si 0.500 0.500 0.755
Ta 0.000 0.000 0.986
Ta 0.500 0.500 0.254
CELL_PARAMETERS angstrom
-2.413 -1.125 -1.022
-0.977 -0.321 2.660
-3.454 7.716 -0.337
! - energy relative to the elements, uncorrected (eV/atom) = 0.025
! - VASP energy (eV per atom) = -8.076
! - magnetization (μB per formula unit) = 0.00
! - space-group type = P4mm, No. 99

---

Entry 5:
! TaSiAu2 (PBE, relaxed); values from VASP
&SYSTEM
  ibrav = 0, nat = 4, ntyp = 3
/
ATOMIC_SPECIES
Au 196.97 Au.upf
Si 28.09 Si.upf
Ta 180.95 Ta.upf
ATOMIC_POSITIONS crystal
Au 0.000 0.000 0.000
Au 0.250 0.750 0.500
Si 0.500 0.500 0.000
Ta 0.750 0.250 0.500
CELL_PARAMETERS angstrom
4.585 -0.031 0.000
0.035 4.585 0.000
-2.310 -2.277 3.241
! - energy relative to the elements, uncorrected (eV/atom) = 0.178
! - VASP energy (eV per atom) = -5.779
! - magnetization (μB per formula unit) = 0.00
! - space-group type = F-43m, No. 216

---

Entry 6:
! TaSiAu2 (PBE, relaxed); values from VASP
&SYSTEM
  ibrav = 0, nat = 4, ntyp = 3
/
ATOMIC_SPECIES
Au 196.97 Au.upf
Si 28.09 Si.upf
Ta 180.95 Ta.upf
ATOMIC_POSITIONS crystal
Au 0.000 0.000 0.991
Au 0.500 0.500 0.282
Si 0.000 0.000 0.498
Ta 0.500 0.500 0.729
CELL_PARAMETERS angstrom
-1.164 -2.415 -1.479
2.520 0.278 -1.716
3.549 -4.459 4.487
! - energy relative to the elements, uncorrected (eV/atom) = -0.013
! - VASP energy (eV per atom) = -5.971
! - magnetization (μB per formula unit) = 0.00
! - space-group type = Cmm2, No. 35

---

Entry 7:
! TaSi2Au (PBE, relaxed); values from VASP
&SYSTEM
  ibrav = 0, nat = 4, ntyp = 3
/
ATOMIC_SPECIES
Au 196.97 Au.upf
Si 28.09 Si.upf
Ta 180.95 Ta.upf
ATOMIC_POSITIONS crystal
Au 0.500 0.000 0.500
Si 0.000 0.000 0.000
Si 0.000 0.500 0.500
Ta 0.500 0.500 0.000
CELL_PARAMETERS angstrom
3.341 0.000 0.000
0.000 4.336 0.000
0.000 0.000 4.336
! - energy relative to the elements, uncorrected (eV/atom) = -0.016
! - VASP energy (eV per atom) = -6.510
! - magnetization (μB per formula unit) = 0.00
! - space-group type = P4/mmm, No. 123

---

Entry 8:
! TaSiAu3 (PBE, relaxed); values from VASP
&SYSTEM
  ibrav = 0, nat = 5, ntyp = 3
/
ATOMIC_SPECIES
Si 28.09 Si.upf
Au 196.97 Au.upf
Ta 180.95 Ta.upf
ATOMIC_POSITIONS crystal
Si 0.500 0.500 0.500
Au 0.000 0.500 0.000
Au 0.000 0.000 0.500
Au 0.500 0.000 0.000
Ta 0.000 0.000 0.000
CELL_PARAMETERS angstrom
-2.568 -0.395 4.390
-4.337 -0.684 -2.599
0.790 -5.040 0.008
! - energy relative to the elements, uncorrected (eV/atom) = 1.256
! - VASP energy (eV per atom) = -4.166
! - magnetization (μB per formula unit) = 0.00
! - space-group type = Pm-3m, No. 221

---

Entry 9:
! TaSiTeAu2 (PBE, relaxed); values from VASP
&SYSTEM
  ibrav = 0, nat = 5, ntyp = 4
/
ATOMIC_SPECIES
Si 28.09 Si.upf
Te 127.60 Te.upf
Au 196.97 Au.upf
Ta 180.95 Ta.upf
ATOMIC_POSITIONS crystal
Si 0.000 0.500 0.000
Te 0.500 0.500 0.500
Au 0.000 0.000 0.500
Au 0.500 0.000 0.000
Ta 0.000 0.000 0.000
CELL_PARAMETERS angstrom
5.130 0.000 0.000
0.000 5.003 0.000
0.000 0.000 5.130
! - energy relative to the elements, uncorrected (eV/atom) = 0.953
! - VASP energy (eV per atom) = -4.441
! - magnetization (μB per formula unit) = 0.00
! - space-group type = P4/mmm, No. 123

---

Entry 10:
! Tb4Si3Au (PBE, relaxed); values from VASP
&SYSTEM
  ibrav = 0, nat = 8, ntyp = 3
/
ATOMIC_SPECIES
Tb 158.93 Tb.upf
Si 28.09 Si.upf
Au 196.97 Au.upf
ATOMIC_POSITIONS crystal
Tb 0.500 0.500 0.364
Tb 0.000 0.500 0.856
Tb 0.000 0.000 0.142
Tb 0.500 0.000 0.639
Si 0.000 0.500 0.575
Si 0.000 0.000 0.430
Si 0.500 0.000 0.916
Au 0.500 0.500 0.078
CELL_PARAMETERS angstrom
4.251 0.000 0.000
0.000 3.976 0.000
0.000 0.000 10.832
! - energy relative to the elements, uncorrected (eV/atom) = -0.792
! - VASP energy (eV per atom) = -5.551
! - magnetization (μB per formula unit) = 0.00
! - space-group type = Pmm2, No. 25

---

Entry 11:
! TbSi2Au4 (PBE, relaxed); values from VASP
&SYSTEM
  ibrav = 0, nat = 7, ntyp = 3
/
ATOMIC_SPECIES
Tb 158.93 Tb.upf
Si 28.09 Si.upf
Au 196.97 Au.upf
ATOMIC_POSITIONS crystal
Tb 0.000 0.000 0.000
Si 0.500 0.585 0.170
Si 0.500 0.415 0.830
Au 0.500 0.828 0.656
Au 0.000 0.672 0.343
Au 0.500 0.172 0.344
Au 0.000 0.328 0.657
CELL_PARAMETERS angstrom
4.384 0.000 0.000
0.000 4.185 -1.243
0.000 -0.146 7.175
! - energy relative to the elements, uncorrected (eV/atom) = -0.450
! - VASP energy (eV per atom) = -4.534
! - magnetization (μB per formula unit) = 0.00
! - space-group type = Cmmm, No. 65

---

Entry 12:
! Tb2Si3Au9 (PBE, relaxed); values from VASP
&SYSTEM
  ibrav = 0, nat = 28, ntyp = 3
/
ATOMIC_SPECIES
Tb 158.93 Tb.upf
Si 28.09 Si.upf
Au 196.97 Au.upf
ATOMIC_POSITIONS crystal
Tb 0.336 0.251 0.754
Tb 0.664 0.749 0.246
Tb 0.998 0.582 0.746
Tb 0.002 0.418 0.254
Si 0.500 0.000 0.000
Si 0.500 0.500 0.500
Si 0.868 0.186 0.507
Si 0.132 0.814 0.493
Si 0.179 0.361 0.993
Si 0.821 0.639 0.007
Au 0.421 0.923 0.736
Au 0.579 0.077 0.264
Au 0.687 0.685 0.764
Au 0.313 0.315 0.236
Au 0.437 0.638 0.916
Au 0.563 0.362 0.084
Au 0.222 0.521 0.584
Au 0.778 0.479 0.416
Au 0.900 0.150 0.750
Au 0.100 0.850 0.250
Au 0.139 0.981 0.925
Au 0.861 0.019 0.075
Au 0.557 0.214 0.575
Au 0.443 0.786 0.425
Au 0.885 0.859 0.575
Au 0.115 0.141 0.425
Au 0.784 0.311 0.925
Au 0.216 0.689 0.075
CELL_PARAMETERS angstrom
-7.338 0.809 3.053
5.407 -4.483 3.807
5.913 8.608 1.589
! - energy relative to the elements, uncorrected (eV/atom) = -0.405
! - VASP energy (eV per atom) = -4.336
! - magnetization (μB per formula unit) = 0.00
! - space-group type = C2/c, No. 15

---

Entry 13:
! Tb3Si4Au7 (PBE, relaxed); values from VASP
&SYSTEM
  ibrav = 0, nat = 14, ntyp = 3
/
ATOMIC_SPECIES
Tb 158.93 Tb.upf
Si 28.09 Si.upf
Au 196.97 Au.upf
ATOMIC_POSITIONS crystal
Tb 0.314 0.187 0.185
Tb 0.686 0.813 0.815
Tb 0.000 0.500 0.500
Si 0.664 0.450 0.222
Si 0.336 0.550 0.778
Si 0.880 0.902 0.338
Si 0.120 0.098 0.662
Au 0.318 0.828 0.537
Au 0.494 0.224 0.788
Au 0.843 0.401 0.913
Au 0.682 0.172 0.463
Au 0.157 0.599 0.087
Au 0.000 0.000 0.000
Au 0.506 0.776 0.212
CELL_PARAMETERS angstrom
-2.053 1.222 3.594
-5.697 -5.858 1.327
2.642 -5.338 5.915
! - energy relative to the elements, uncorrected (eV/atom) = -0.593
! - VASP energy (eV per atom) = -4.774
! - magnetization (μB per formula unit) = 0.00
! - space-group type = C2/m, No. 12

---

Entry 14:
! TbSi3Au3 (PBE, relaxed); values from VASP
&SYSTEM
  ibrav = 0, nat = 14, ntyp = 3
/
ATOMIC_SPECIES
Tb 158.93 Tb.upf
Si 28.09 Si.upf
Au 196.97 Au.upf
ATOMIC_POSITIONS crystal
Tb 0.500 0.500 0.500
Tb 0.000 0.000 0.000
Si 0.250 0.000 0.500
Si 0.000 0.500 0.250
Si 0.500 0.750 0.000
Si 0.750 0.000 0.500
Si 0.000 0.500 0.750
Si 0.500 0.250 0.000
Au 0.000 0.250 0.500
Au 0.000 0.750 0.500
Au 0.500 0.000 0.750
Au 0.750 0.500 0.000
Au 0.500 0.000 0.250
Au 0.250 0.500 0.000
CELL_PARAMETERS angstrom
-6.121 2.823 0.925
-0.557 -3.170 5.995
2.918 5.317 3.083
! - energy relative to the elements, uncorrected (eV/atom) = 0.005
! - VASP energy (eV per atom) = -4.385
! - magnetization (μB per formula unit) = 0.00
! - space-group type = Pm-3n, No. 223

---

Entry 15:
! TbSi2Au6 (PBE, relaxed); values from VASP
&SYSTEM
  ibrav = 0, nat = 9, ntyp = 3
/
ATOMIC_SPECIES
Tb 158.93 Tb.upf
Si 28.09 Si.upf
Au 196.97 Au.upf
ATOMIC_POSITIONS crystal
Tb 0.000 0.000 0.000
Si 0.500 0.500 0.132
Si 0.500 0.500 0.868
Au 0.000 0.500 0.269
Au 0.500 0.000 0.269
Au 0.000 0.500 0.731
Au 0.500 0.000 0.731
Au 0.500 0.500 0.500
Au 0.000 0.000 0.500
CELL_PARAMETERS angstrom
-1.122 3.020 -2.955
-3.665 -2.217 -0.873
-4.205 4.507 6.203
! - energy relative to the elements, uncorrected (eV/atom) = -0.335
! - VASP energy (eV per atom) = -4.239
! - magnetization (μB per formula unit) = 0.00
! - space-group type = P4/mmm, No. 123

---

Entry 16:
! Tb2Si3Au6 (PBE, relaxed); values from VASP
&SYSTEM
  ibrav = 0, nat = 11, ntyp = 3
/
ATOMIC_SPECIES
Tb 158.93 Tb.upf
Si 28.09 Si.upf
Au 196.97 Au.upf
ATOMIC_POSITIONS crystal
Tb 0.000 0.667 0.333
Tb 0.000 0.333 0.667
Si 0.500 0.357 0.357
Si 0.500 0.643 0.000
Si 0.500 0.000 0.643
Au 0.500 0.673 0.673
Au 0.500 0.000 0.327
Au 0.000 0.217 0.217
Au 0.000 0.783 0.000
Au 0.500 0.327 0.000
Au 0.000 0.000 0.783
CELL_PARAMETERS angstrom
4.346 0.000 0.000
0.000 6.586 -3.802
0.000 0.000 7.605
! - energy relative to the elements, uncorrected (eV/atom) = -0.537
! - VASP energy (eV per atom) = -4.646
! - magnetization (μB per formula unit) = 0.00
! - space-group type = P-62m, No. 189

---

Entry 17:
! Tb2Si3Au2 (PBE, relaxed); values from VASP
&SYSTEM
  ibrav = 0, nat = 14, ntyp = 3
/
ATOMIC_SPECIES
Tb 158.93 Tb.upf
Si 28.09 Si.upf
Au 196.97 Au.upf
ATOMIC_POSITIONS crystal
Tb 0.152 0.250 0.304
Tb 0.848 0.750 0.696
Tb 0.949 0.250 0.899
Tb 0.051 0.750 0.101
Si 0.223 0.750 0.446
Si 0.777 0.250 0.554
Si 0.556 0.422 0.113
Si 0.444 0.578 0.887
Si 0.444 0.922 0.887
Si 0.556 0.078 0.113
Au 0.685 0.951 0.369
Au 0.315 0.049 0.631
Au 0.315 0.451 0.631
Au 0.685 0.549 0.369
CELL_PARAMETERS angstrom
-1.630 -3.979 -0.010
0.148 -0.043 -6.949
9.213 -1.451 0.205
! - energy relative to the elements, uncorrected (eV/atom) = -0.687
! - VASP energy (eV per atom) = -5.270
! - magnetization (μB per formula unit) = 0.00
! - space-group type = Cmcm, No. 63

---

Entry 18:
! Tb5Si2Au (PBE, relaxed); values from VASP
&SYSTEM
  ibrav = 0, nat = 16, ntyp = 3
/
ATOMIC_SPECIES
Tb 158.93 Tb.upf
Si 28.09 Si.upf
Au 196.97 Au.upf
ATOMIC_POSITIONS crystal
Tb 0.531 0.685 0.716
Tb 0.815 0.969 0.284
Tb 0.000 0.000 0.000
Tb 0.500 0.500 0.000
Tb 0.185 0.031 0.716
Tb 0.685 0.185 0.716
Tb 0.031 0.531 0.716
Tb 0.315 0.815 0.284
Tb 0.969 0.469 0.284
Tb 0.469 0.315 0.284
Si 0.120 0.380 0.000
Si 0.620 0.120 0.000
Si 0.380 0.880 0.000
Si 0.880 0.620 0.000
Au 0.750 0.750 0.500
Au 0.250 0.250 0.500
CELL_PARAMETERS angstrom
6.751 0.000 -3.187
-1.504 6.582 -3.187
0.084 0.106 8.924
! - energy relative to the elements, uncorrected (eV/atom) = -0.667
! - VASP energy (eV per atom) = -5.327
! - magnetization (μB per formula unit) = 0.00
! - space-group type = I4/mcm, No. 140

---

Entry 19:
! Tb2Si2Au3 (PBE, relaxed); values from VASP
&SYSTEM
  ibrav = 0, nat = 7, ntyp = 3
/
ATOMIC_SPECIES
Tb 158.93 Tb.upf
Si 28.09 Si.upf
Au 196.97 Au.upf
ATOMIC_POSITIONS crystal
Tb 0.859 0.719 0.224
Tb 0.141 0.281 0.776
Si 0.853 0.707 0.802
Si 0.147 0.293 0.198
Au 0.500 0.000 0.000
Au 0.623 0.245 0.445
Au 0.377 0.755 0.555
CELL_PARAMETERS angstrom
4.064 0.000 0.000
-2.032 5.163 -0.275
0.000 -2.696 6.725
! - energy relative to the elements, uncorrected (eV/atom) = -0.669
! - VASP energy (eV per atom) = -4.946
! - magnetization (μB per formula unit) = 0.00
! - space-group type = C2/m, No. 12

---

Entry 20:
! TbSi2Au3 (PBE, relaxed); values from VASP
&SYSTEM
  ibrav = 0, nat = 12, ntyp = 3
/
ATOMIC_SPECIES
Tb 158.93 Tb.upf
Si 28.09 Si.upf
Au 196.97 Au.upf
ATOMIC_POSITIONS crystal
Tb 0.853 0.707 0.927
Tb 0.147 0.293 0.073
Si 0.490 0.980 0.837
Si 0.510 0.020 0.163
Si 0.808 0.616 0.302
Si 0.192 0.384 0.698
Au 0.318 0.636 0.595
Au 0.956 0.913 0.639
Au 0.629 0.258 0.756
Au 0.371 0.742 0.244
Au 0.044 0.087 0.361
Au 0.682 0.364 0.405
CELL_PARAMETERS angstrom
-2.649 1.041 -3.239
3.042 -7.363 -1.986
-5.802 -0.164 4.692
! - energy relative to the elements, uncorrected (eV/atom) = -0.476
! - VASP energy (eV per atom) = -4.694
! - magnetization (μB per formula unit) = 0.00
! - space-group type = C2/m, No. 12

---

Entry 21:
! Tb8Si3Te4Au (PBE, relaxed); values from VASP
&SYSTEM
  ibrav = 0, nat = 16, ntyp = 4
/
ATOMIC_SPECIES
Tb 158.93 Tb.upf
Si 28.09 Si.upf
Te 127.60 Te.upf
Au 196.97 Au.upf
ATOMIC_POSITIONS crystal
Tb 0.246 0.724 0.978
Tb 0.247 0.724 0.493
Tb 0.260 0.281 0.521
Tb 0.731 0.724 0.978
Tb 0.269 0.276 0.022
Tb 0.740 0.719 0.479
Tb 0.753 0.276 0.507
Tb 0.754 0.276 0.022
Si 0.500 0.500 0.000
Si 0.500 0.500 0.500
Si 0.000 0.500 0.500
Te 0.500 0.000 0.000
Te 0.500 0.000 0.500
Te 0.000 0.000 0.000
Te 0.000 0.000 0.500
Au 0.000 0.500 0.000
CELL_PARAMETERS angstrom
8.490 0.000 0.000
0.000 8.640 0.099
-4.245 -4.241 6.008
! - energy relative to the elements, uncorrected (eV/atom) = -1.082
! - VASP energy (eV per atom) = -5.404
! - magnetization (μB per formula unit) = 0.00
! - space-group type = R-3m, No. 166

---

Entry 22:
! TbYSiAu (PBE, relaxed); values from VASP
&SYSTEM
  ibrav = 0, nat = 4, ntyp = 4
/
ATOMIC_SPECIES
Y 88.91 Y.upf
Tb 158.93 Tb.upf
Si 28.09 Si.upf
Au 196.97 Au.upf
ATOMIC_POSITIONS crystal
Y 0.750 0.750 0.750
Tb 0.250 0.250 0.250
Si 0.000 0.000 0.000
Au 0.500 0.500 0.500
CELL_PARAMETERS angstrom
-1.001 -2.437 -4.322
-2.881 -4.161 0.050
-4.666 0.129 -1.956
! - energy relative to the elements, uncorrected (eV/atom) = -0.669
! - VASP energy (eV per atom) = -5.617
! - magnetization (μB per formula unit) = 0.42
! - space-group type = F-43m, No. 216

---

Entry 23:
! Tb2ZnSi3Au4 (PBE, relaxed); values from VASP
&SYSTEM
  ibrav = 0, nat = 10, ntyp = 4
/
ATOMIC_SPECIES
Tb 158.93 Tb.upf
Zn 65.41 Zn.upf
Si 28.09 Si.upf
Au 196.97 Au.upf
ATOMIC_POSITIONS crystal
Tb 0.500 0.000 0.240
Tb 0.000 0.500 0.760
Zn 0.500 0.500 0.500
Si 0.000 0.000 0.500
Si 0.500 0.000 0.861
Si 0.000 0.500 0.139
Au 0.500 0.500 0.000
Au 0.000 0.000 0.000
Au 0.500 0.000 0.638
Au 0.000 0.500 0.362
CELL_PARAMETERS angstrom
4.209 0.000 0.000
0.000 4.209 0.000
0.000 0.000 10.742
! - energy relative to the elements, uncorrected (eV/atom) = -0.564
! - VASP energy (eV per atom) = -4.556
! - magnetization (μB per formula unit) = 0.00
! - space-group type = P-4m2, No. 115